This record from Alexandria via LeMat-Bulk describes an optimized crystal structure of YMgCo10. The functional is PBE.

energy of formation from the pure elements = 8 meV per atom
N(E_F) = 1.269 states/eV/atom
total magnetization = 15.49 μB/f.u.

a b c (Å): 3.9909 4.7953 8.4377
angles (deg): 90.00 90.00 90.00
Last column: nearest neighbours and their distance in Å.
Space group Pmmm (No. 47)
Inequivalent atoms, fractional coordinates:
Y: 0.0000 0.0000 0.0000 x1  18 Co 2.88-3.15
Mg: 0.0000 0.5000 0.5000 x1  6 Co 2.62-2.74
Co: 0.0000 0.0000 0.3436 x2  7 Co 2.39-2.64
Co: 0.0000 0.5000 0.1894 x2  6 Co 2.39-2.56, 1 Mg 2.62
Co: 0.5000 0.0000 0.5000 x1  8 Co 2.39-2.42
Co: 0.5000 0.2501 0.2513 x4  8 Co 2.39-2.45
Co: 0.5000 0.5000 0.0000 x1  8 Co 2.44-2.56